No. 1
# InP2BrCl | Alexandria via LeMat-Bulk | GGA-PBE | optimized geometry
data_InP2BrCl
_cell_length_a 5.196
_cell_length_b 5.196
_cell_length_c 6.908
_cell_angle_alpha 90.00
_cell_angle_beta 90.00
_cell_angle_gamma 90.00
_symmetry_space_group_name_H-M 'P 1'
_symmetry_Int_Tables_number 1
loop_
_symmetry_equiv_pos_as_xyz
'x,y,z'
loop_
_atom_site_label
_atom_site_fract_x
_atom_site_fract_y
_atom_site_fract_z
In1 0.000 0.000 0.000
P1 0.000 0.500 0.500
P2 0.500 0.000 0.500
Br1 0.500 0.500 0.500
Cl1 0.500 0.500 0.000
# DOS at the Fermi energy = 2.12 states/eV/cell
# ΔE_f (raw) = 0.857 eV per atom
# Magnetization = 3.41 μB/cell

---

No. 2
# Li4Ce3Ge4 | Alexandria via LeMat-Bulk | GGA-PBE | optimized geometry
data_Li4Ce3Ge4
_cell_length_a 8.312
_cell_length_b 8.312
_cell_length_c 8.312
_cell_angle_alpha 149.04
_cell_angle_beta 131.75
_cell_angle_gamma 58.44
_symmetry_space_group_name_H-M 'P 1'
_symmetry_Int_Tables_number 1
loop_
_symmetry_equiv_pos_as_xyz
'x,y,z'
loop_
_atom_site_label
_atom_site_fract_x
_atom_site_fract_y
_atom_site_fract_z
Li1 0.019 0.829 0.189
Li2 0.360 0.171 0.189
Li3 0.640 0.829 0.811
Li4 0.981 0.171 0.811
Ce1 0.000 0.500 0.500
Ce2 0.370 0.370 0.000
Ce3 0.630 0.630 0.000
Ge1 0.214 0.714 0.500
Ge2 0.311 0.000 0.311
Ge3 0.689 0.000 0.689
Ge4 0.786 0.286 0.500
# DOS at the Fermi energy = 15.69 states/eV/cell
# Magnetization = 1.76 μB/cell
# ΔH_f (0 K) = -0.6028 eV/atom

---

- Which of these has the highest magnetization?
  InP2BrCl

---

- Which of these has the lowest magnetization?
  Li4Ce3Ge4

---

- The highest DOS at the Fermi energy belongs to which entry?
  Li4Ce3Ge4